Entry 1:
Here is a relaxed PaAgBr6 crystal from the Alexandria database. Energies are from PBE-GGA.

```
8
Lattice="6.672 -1.520 -1.835 -3.679 6.452 -2.313 0.708 0.719 7.451" Properties=species:S:1:pos:R:3 pbc="T T T"
Pa -1.840 3.226 -1.157
Ag 0.000 0.000 0.000
Br 5.787 -0.107 3.409
Br -0.271 2.604 1.017
Br 3.972 3.046 2.286
Br -2.086 5.757 -0.106
Br 0.350 4.003 -2.514
Br 2.643 0.929 -1.634
```

Calculated values
Energy above the most stable polymorph in this dataset, meV/atom: 0
Space group: C2/m (12)
Size of the total moment, μB/f.u.: 0.0


Entry 2:
Here is a relaxed Hf2CO crystal from the Alexandria database. Energies are from PBE-GGA.

```
8
Lattice="4.940 0.000 0.000 0.000 4.940 0.000 2.470 2.470 4.996" Properties=species:S:1:pos:R:3 pbc="T T T"
C 2.470 2.470 0.000
C 2.470 4.940 2.498
Hf 3.698 1.235 1.249
Hf 1.242 3.705 1.249
Hf 3.705 3.712 3.747
Hf 6.175 6.168 3.747
O 0.000 0.000 0.000
O 4.940 2.470 2.498
```

Calculated values
Energy above the most stable polymorph in this dataset, meV/atom: 68
Space group: I-42d (122)
Size of the total moment, μB/f.u.: 0.0


Which formula does entry 1 have?
PaAgBr6


What did the second record say?
Here is a relaxed Hf2CO crystal from the Alexandria database. Energies are from PBE-GGA.

```
8
Lattice="4.940 0.000 0.000 0.000 4.940 0.000 2.470 2.470 4.996" Properties=species:S:1:pos:R:3 pbc="T T T"
C 2.470 2.470 0.000
C 2.470 4.940 2.498
Hf 3.698 1.235 1.249
Hf 1.242 3.705 1.249
Hf 3.705 3.712 3.747
Hf 6.175 6.168 3.747
O 0.000 0.000 0.000
O 4.940 2.470 2.498
```

Calculated values
Energy above the most stable polymorph in this dataset, meV/atom: 68
Space group: I-42d (122)
Size of the total moment, μB/f.u.: 0.0


Which value of energy above the most stable polymorph in this dataset does entry 2 give?
68 meV/atom


What is the size of the total moment in the first record?
0.0 μB/f.u.